1.
# Zn2SiPb, PBEsol geometry, DFT meta-GGA SCAN
data_Zn2SiPb
_space_group_name_H-M_alt 'F -4 3 m'
_space_group_IT_number 216
_space_group_name_Hall 'F -4 2 3'
_cell_length_a 6.7860
_cell_length_b 6.7860
_cell_length_c 6.7860
_cell_angle_alpha 90.00
_cell_angle_beta 90.00
_cell_angle_gamma 90.00
loop_
_atom_site_label
_atom_site_type_symbol
_atom_site_fract_x
_atom_site_fract_y
_atom_site_fract_z
Zn1 Zn 0.0000 0.0000 0.0000
Zn2 Zn 0.2500 0.2500 0.2500
Si1 Si 0.0000 0.0000 0.5000
Pb1 Pb 0.2500 0.2500 0.7500
# Raw formation energy (eV/atom): 0.558
# Energy above the lowest structure with this stoichiometry (kcal/mol of atoms): 6.44

=====

2.
# ZnSiPb, PBEsol geometry, DFT meta-GGA SCAN
data_ZnSiPb
_space_group_name_H-M_alt 'F m m 2'
_space_group_IT_number 42
_space_group_name_Hall 'F 2 -2'
_cell_length_a 4.6206
_cell_length_b 4.6482
_cell_length_c 11.3477
_cell_angle_alpha 90.00
_cell_angle_beta 90.00
_cell_angle_gamma 90.00
loop_
_atom_site_label
_atom_site_type_symbol
_atom_site_fract_x
_atom_site_fract_y
_atom_site_fract_z
Zn1 Zn 0.0000 0.0000 0.0000
Si1 Si 0.0000 0.0000 0.3962
Pb1 Pb 0.0000 0.0000 0.6983
# Raw formation energy (eV/atom): 0.483
# Energy above the lowest structure with this stoichiometry (kcal/mol of atoms): 4.21

=====

3.
# ZrSiPb2, PBEsol geometry, DFT meta-GGA SCAN
data_ZrSiPb2
_space_group_name_H-M_alt 'I 4/m m m'
_space_group_IT_number 139
_space_group_name_Hall '-I 4 2'
_cell_length_a 4.2485
_cell_length_b 4.2485
_cell_length_c 10.1055
_cell_angle_alpha 90.00
_cell_angle_beta 90.00
_cell_angle_gamma 90.00
loop_
_atom_site_label
_atom_site_type_symbol
_atom_site_fract_x
_atom_site_fract_y
_atom_site_fract_z
Zr1 Zr 0.0000 0.0000 0.0000
Si1 Si 0.0000 0.0000 0.5000
Pb1 Pb 0.0000 0.5000 0.2500
# Raw formation energy (eV/atom): 0.132

=====

The highest raw formation energy belongs to which entry? Zn2SiPb

=====

Among the records above, which one has the lowest raw formation energy? ZrSiPb2